Record 1
## LiPtSN2 (PBE)

Data for a relaxed structure of LiPtSN2.

Cell lengths 3.569, 3.569, 4.837 Å; angles 90.00, 90.00, 90.00 degrees
Atoms (fractional coordinates):
S 0.000 0.000 0.500
Li 0.000 0.000 0.000
N 0.500 0.000 0.000
N 0.000 0.500 0.000
Pt 0.500 0.500 0.500

Values from the calculation:
As for the space group: P4/mmm. Its total magnetization is 1.5 μB/f.u. The formation energy (no corrections) comes out at 1766 meV per atom.



Record 2
## MgSiOs2 (PBE)

Data for a relaxed structure of MgSiOs2.

Cell lengths 3.059, 3.059, 6.189 Å; angles 90.00, 90.00, 90.00 degrees
Atoms (fractional coordinates):
Si 0.000 0.000 0.476
Os 0.000 0.000 0.995
Os 0.500 0.500 0.282
Mg 0.500 0.500 0.747

Values from the calculation:
As for the space group: P4mm. Its total magnetization is 0.0 μB/f.u. The formation energy (no corrections) comes out at 145 meV per atom.



Record 3
## KGaP2O (PBE)

Data for a relaxed structure of KGaP2O.

Cell lengths 5.310, 5.310, 3.636 Å; angles 90.00, 90.00, 90.00 degrees
Atoms (fractional coordinates):
K 0.500 0.500 0.500
O 0.000 0.000 0.500
P 0.500 0.000 0.000
P 0.000 0.500 0.000
Ga 0.000 0.000 0.000

Values from the calculation:
As for the space group: P4/mmm. Its total magnetization is 0.0 μB/f.u. The formation energy (no corrections) comes out at 160 meV per atom.



Record 4
## GaCu2C (PBE)

Data for a relaxed structure of GaCu2C.

Cell lengths 4.454, 4.454, 6.701 Å; angles 70.59, 70.59, 90.00 degrees
Atoms (fractional coordinates):
C 0.250 0.750 0.500
C 0.500 0.500 0.000
Cu 0.875 0.741 0.750
Cu 0.491 0.125 0.250
Cu 0.259 0.625 0.250
Cu 0.375 0.509 0.750
Ga 0.000 0.000 0.000
Ga 0.750 0.250 0.500

Values from the calculation:
As for the space group: I-42d. Its total magnetization is 0.0 μB/f.u. For the formation enthalpy at 0 K, the calculation gives 788 meV per atom.